Compound: U2NiGe2
Source: Alexandria
Functional: PBE
Structure: optimized geometry

## Properties
The formation energy comes out at -1.85 eV/f.u.

Cell lengths 10.6229, 3.9387, 9.2673 Å; angles 90.00, 108.77, 90.00 degrees
Space group C2/m (No. 12)
One atom of each set of equivalent atoms:
U1 0.0183 0.0000 0.3752 x4
U2 0.2072 0.0000 0.0674 x4
Ni1 0.2033 0.5000 0.3206 x4
Ge1 0.0074 0.5000 0.8675 x4
Ge2 0.1771 0.5000 0.5900 x4